VASP calculation (PBE-GGA) on a relaxed Sr2CaSb3Rh4 crystal.

abc: 4.460 4.460 11.462
angles: 90.00 90.00 90.00
Fractional coordinates of all 10 atoms:
Sr: 0.500 0.000 0.241
Sr: 0.000 0.500 0.759
Ca: 0.500 0.500 0.500
Sb: 0.000 0.000 0.500
Sb: 0.500 0.000 0.873
Sb: 0.000 0.500 0.127
Rh: 0.500 0.500 0.000
Rh: 0.000 0.000 0.000
Rh: 0.500 0.000 0.646
Rh: 0.000 0.500 0.354

Output
Symmetry: No. 115
Electronic total energy: -0.3985 Ry per atom
E_form (uncorrected): -0.71 eV per atom

---

VASP calculation (PBE-GGA) on a relaxed Ba4CdHg2Au crystal.

abc: 5.911 5.911 10.207
angles: 73.17 73.17 60.00
Fractional coordinates of all 8 atoms:
Ba: 0.379 0.379 0.862
Ba: 0.872 0.872 0.385
Ba: 0.128 0.128 0.615
Ba: 0.621 0.621 0.138
Cd: 0.000 0.000 0.000
Hg: 0.745 0.745 0.765
Hg: 0.255 0.255 0.235
Au: 0.500 0.500 0.500

Output
Symmetry: No. 166
Energy of formation: -504 meV/atom
Electronic total energy: -0.1518 Ry per atom

---

VASP calculation (PBE-GGA) on a relaxed Hf2ZrAgSn crystal.

abc: 5.120 4.954 5.120
angles: 90.00 90.00 90.00
Last column: magnetic moment on the atom in μB.
Fractional coordinates of all 5 atoms:
Zr: 0.500 0.500 0.500  0.22
Hf: 0.000 0.000 0.500  0.16
Hf: 0.500 0.000 0.000  0.14
Sn: 0.000 0.500 0.000  -0.01
Ag: 0.000 0.000 0.000  0.04

Output
Symmetry: No. 123
Energy of formation: 905 meV/atom
Electronic total energy: -0.4525 Ry per atom

---

VASP calculation (PBE-GGA) on a relaxed K4Sn2Hg5 crystal.

abc: 5.161 8.381 9.394
angles: 88.34 90.00 90.00
Fractional coordinates of all 11 atoms:
K: 0.500 0.745 0.618
K: 0.500 0.229 0.863
K: 0.500 0.255 0.382
K: 0.500 0.771 0.137
Sn: 0.000 0.074 0.630
Sn: 0.000 0.926 0.370
Hg: 0.000 0.560 0.341
Hg: 0.000 0.149 0.116
Hg: 0.000 0.500 0.000
Hg: 0.000 0.851 0.884
Hg: 0.000 0.440 0.659

Output
Symmetry: No. 10
Energy of formation: -191 meV/atom
Electronic total energy: -0.1070 Ry per atom

---

VASP calculation (PBE-GGA) on a relaxed LuCdRuAu crystal.

abc: 4.745 4.745 4.745
angles: 60.00 60.00 60.00
Fractional coordinates of all 4 atoms:
Ru: 0.750 0.750 0.750
Lu: 0.000 0.000 0.000
Au: 0.250 0.250 0.250
Cd: 0.500 0.500 0.500

Output
Symmetry: No. 216
Energy of formation: -281 meV/atom
Electronic total energy: -0.3512 Ry per atom

---

VASP calculation (PBE-GGA) on a relaxed ErHfAlRe crystal.

abc: 4.793 4.793 4.793
angles: 60.00 60.00 60.00
Fractional coordinates of all 4 atoms:
Re: 0.750 0.750 0.750
Hf: 0.000 0.000 0.000
Al: 0.250 0.250 0.250
Er: 0.500 0.500 0.500

Output
Symmetry: No. 216
Energy of formation: -200 meV/atom
Electronic total energy: -0.5789 Ry per atom